1.
InSb2Rh | Alexandria via LeMat-Bulk | PBE | relaxed; total magnetization = 0.00 μB/f.u.; formation energy from raw total energies = -0.312 eV/f.u.; electronic total energy = -4.6616 eV/atom; space-group type = Imm2, No. 44; density of states at the Fermi level = 0.500 states/eV per atom
1.0
-5.867 -0.014 4.532
-4.257 5.005 3.435
3.275 -3.021 -5.926
Sb Rh In
2 1 1
Direct
0.229 0.729 0.500 Sb
0.930 0.930 0.000 Sb
0.780 0.280 0.500 Rh
0.561 0.561 0.000 In

***

2.
Ta2CdIr | Alexandria via LeMat-Bulk | PBE | relaxed; total magnetization = 0.00 μB/f.u.; electronic total energy = -8.3436 eV/atom; formation energy = 0.03 eV per atom; space-group type = Imm2, No. 44; density of states at the Fermi level = 0.738 states/eV per atom
1.0
-3.874 1.439 -3.891
-2.811 -4.075 -2.777
1.296 2.582 4.886
Cd Ir Ta
1 1 2
Direct
0.486 0.486 0.000 Cd
0.236 0.736 0.500 Ir
0.013 0.013 0.000 Ta
0.765 0.265 0.500 Ta

***

3.
KNa2Sr | Alexandria via LeMat-Bulk | PBE | relaxed; total magnetization = 0.00 μB/f.u.; electronic total energy = -1.3225 eV/atom; formation energy = 0.03 eV per atom; space-group type = P4/mmm, No. 123; energy relative to the lowest polymorph listed for this composition = 0 meV per atom; density of states at the Fermi level = 0.696 states/eV per atom
1.0
4.378 0.000 0.000
0.000 4.378 0.000
0.000 0.000 10.224
K Na Sr
1 2 1
Direct
0.500 0.500 0.000 K
0.000 0.000 0.262 Na
0.000 0.000 0.738 Na
0.500 0.500 0.500 Sr